A) {
  "formula": "AlNiN2F",
  "functional": "GGA+U",
  "state": "optimized geometry",
  "cell": [[-1.159, -3.476, -0.810], [2.671, -1.409, 2.227], [-2.382, 0.113, 2.928]],
  "species": ["Ni", "N", "N", "Al", "F"],
  "fractional_positions": [[0.000, 0.000, 0.000], [0.000, 0.500, 0.000], [0.500, 0.000, 0.000], [0.500, 0.500, 0.500], [0.000, 0.000, 0.500]],
  "volume_a3_per_atom": 10.63,
  "sg": "P4/mmm (123)",
  "dos_ef_per_ev_fu": 1.68
}

B) {
  "formula": "AlNiN2F",
  "functional": "GGA+U",
  "state": "optimized geometry",
  "cell": [[-1.959, -1.580, 2.853], [0.244, -3.390, -1.710], [3.100, -0.665, 1.761]],
  "species": ["Ni", "N", "N", "Al", "F"],
  "fractional_positions": [[0.500, 0.500, 0.500], [0.000, 0.500, 0.000], [0.500, 0.000, 0.000], [0.000, 0.000, 0.000], [0.000, 0.000, 0.500]],
  "volume_a3_per_atom": 10.50,
  "sg": "P4/mmm (123)",
  "dos_ef_per_ev_fu": 2.76
}

B) is the most stable structure; the next one sits 50.6 kJ/mol of atoms above it.